(P)
Here is a relaxed structure of Pr4HoTm6 from Alexandria via LeMat-Bulk. Energies are from PBE. Values from VASP.

Computed properties:
The space-group type is I-42m.

The structure in Quantum ESPRESSO input format:
```
&SYSTEM
  ibrav = 0, nat = 11, ntyp = 3
/
ATOMIC_SPECIES
Tm 168.93 Tm.upf
Pr 140.91 Pr.upf
Ho 164.93 Ho.upf
ATOMIC_POSITIONS angstrom
Tm -0.866 -3.672 3.210
Tm -1.837 -0.539 -3.332
Pr 3.196 -5.376 1.965
Ho 1.537 -0.959 -5.123
Pr 2.498 -2.585 -8.248
Pr 0.516 -1.348 -1.640
Tm 0.617 -4.599 -1.736
Tm -1.047 -3.340 -5.453
Pr -3.524 -5.528 -0.022
Tm 3.982 -3.226 -3.966
Tm 3.374 -0.421 -1.791
CELL_PARAMETERS angstrom
-3.673 -1.077 -6.664
6.747 -0.842 -3.583
-1.731 -5.500 6.275
```

***

(Q)
Here is a relaxed structure of Pr4HoTm6 from Alexandria via LeMat-Bulk. Energies are from PBE. Values from VASP.

Computed properties:
The space-group type is I-42m.

The structure in Quantum ESPRESSO input format:
```
&SYSTEM
  ibrav = 0, nat = 11, ntyp = 3
/
ATOMIC_SPECIES
Tm 168.93 Tm.upf
Pr 140.91 Pr.upf
Ho 164.93 Ho.upf
ATOMIC_POSITIONS angstrom
Tm -3.242 -1.327 -1.118
Pr 4.901 -3.796 0.489
Tm 6.315 -4.896 7.078
Pr 2.417 -1.876 5.413
Tm -0.440 -2.635 -1.986
Tm 7.738 -5.996 4.256
Pr 5.839 -8.219 6.149
Pr 0.888 -2.952 1.599
Ho 0.000 0.000 0.000
Tm -2.443 -1.087 1.984
Tm 3.234 -4.623 3.434
CELL_PARAMETERS angstrom
-8.525 0.651 -4.553
7.645 -5.921 0.581
3.640 -2.825 8.521
```

***

Energetically preferred structure: (Q) | next structure: +182 meV per atom

***

(P)
Here is a relaxed structure of PrHo2Tm3 from Alexandria via LeMat-Bulk. Energies are from PBE. Values from VASP.

Computed properties:
The space-group type is C2/m.

The structure in Quantum ESPRESSO input format:
```
&SYSTEM
  ibrav = 0, nat = 12, ntyp = 3
/
ATOMIC_SPECIES
Tm 168.93 Tm.upf
Pr 140.91 Pr.upf
Ho 164.93 Ho.upf
ATOMIC_POSITIONS angstrom
Tm 1.809 7.487 3.193
Pr 1.809 10.005 0.794
Ho 1.809 1.956 3.980
Tm 0.000 -0.695 5.362
Ho 0.000 1.595 0.872
Pr 0.000 -3.213 7.761
Tm 1.809 -0.252 8.438
Ho 1.809 5.197 7.683
Tm 0.000 7.045 0.117
Ho 0.000 4.836 4.575
Tm 1.809 4.467 1.517
Tm 0.000 2.325 7.038
CELL_PARAMETERS angstrom
3.619 0.000 0.000
0.000 11.135 -1.457
-1.809 -4.343 10.012
```

***

(Q)
Here is a relaxed structure of PrHo2Tm3 from Alexandria via LeMat-Bulk. Energies are from PBE. Values from VASP.

Computed properties:
The space-group type is P-1.

The structure in Quantum ESPRESSO input format:
```
&SYSTEM
  ibrav = 0, nat = 12, ntyp = 3
/
ATOMIC_SPECIES
Ho 164.93 Ho.upf
Tm 168.93 Tm.upf
Pr 140.91 Pr.upf
ATOMIC_POSITIONS angstrom
Ho 3.130 2.411 -0.197
Ho -1.386 6.040 1.737
Tm -0.309 2.989 0.528
Tm -1.371 3.323 3.896
Tm -3.958 9.485 4.307
Ho 2.060 2.774 3.182
Tm 0.982 5.825 4.391
Pr 3.569 -0.315 3.984
Pr -2.895 9.129 0.935
Tm 2.044 5.491 1.022
Tm 4.631 -0.670 0.612
Ho -2.456 6.403 5.115
CELL_PARAMETERS angstrom
6.882 -1.130 -1.438
-4.075 9.250 -0.395
-2.133 0.695 6.751
```

***

Energetically preferred structure: (Q) | next structure: +9 meV per atom

***

(P)
Here is a relaxed structure of Pr4Ho3Tm4 from Alexandria via LeMat-Bulk. Energies are from PBE. Values from VASP.

Computed properties:
The space-group type is P-1.

The structure in Quantum ESPRESSO input format:
```
&SYSTEM
  ibrav = 0, nat = 11, ntyp = 3
/
ATOMIC_SPECIES
Pr 140.91 Pr.upf
Tm 168.93 Tm.upf
Ho 164.93 Ho.upf
ATOMIC_POSITIONS angstrom
Pr -2.307 17.744 0.647
Tm -4.222 8.509 0.457
Tm -1.379 10.631 0.386
Pr -0.923 7.126 0.260
Ho 0.000 0.000 0.000
Ho -1.849 14.221 0.517
Ho -3.752 4.919 0.326
Tm -0.463 3.597 0.124
Tm -5.138 15.543 0.718
Pr -3.295 1.396 0.196
Pr -4.678 12.015 0.582
CELL_PARAMETERS angstrom
-2.203 -0.182 -2.829
-3.925 -0.621 3.097
0.527 19.943 0.575
```

***

(Q)
Here is a relaxed structure of Pr4Ho3Tm4 from Alexandria via LeMat-Bulk. Energies are from PBE. Values from VASP.

Computed properties:
The space-group type is P-1.

The structure in Quantum ESPRESSO input format:
```
&SYSTEM
  ibrav = 0, nat = 11, ntyp = 3
/
ATOMIC_SPECIES
Tm 168.93 Tm.upf
Ho 164.93 Ho.upf
Pr 140.91 Pr.upf
ATOMIC_POSITIONS angstrom
Tm 3.512 5.654 16.242
Tm 1.756 5.660 6.453
Ho 1.754 5.657 13.016
Tm 1.757 2.831 1.610
Ho 3.515 2.828 4.837
Ho 0.000 0.000 0.000
Pr 3.514 5.659 9.593
Tm 3.513 2.824 11.400
Pr 1.755 2.826 8.260
Pr 1.757 5.662 3.240
Pr 3.512 2.822 14.613
CELL_PARAMETERS angstrom
3.519 0.000 0.002
0.000 5.666 0.004
1.749 2.819 17.847
```

***

Energetically preferred structure: (P) | next structure: +50 meV per atom

***

(P)
Here is a relaxed structure of Pr3Ho2Tm4 from Alexandria via LeMat-Bulk. Energies are from PBE. Values from VASP.

Computed properties:
The space-group type is C2/c.

The structure in Quantum ESPRESSO input format:
```
&SYSTEM
  ibrav = 0, nat = 18, ntyp = 3
/
ATOMIC_SPECIES
Ho 164.93 Ho.upf
Pr 140.91 Pr.upf
Tm 168.93 Tm.upf
ATOMIC_POSITIONS angstrom
Ho 3.887 5.626 5.901
Pr 4.927 3.003 3.702
Tm 2.170 9.494 1.488
Tm 7.982 13.317 7.639
Tm 1.553 3.530 4.423
Pr 2.079 3.672 1.077
Pr 7.456 13.175 10.985
Ho 2.801 8.648 8.065
Ho 6.734 8.200 3.998
Tm 5.135 10.723 9.573
Pr 4.609 13.844 8.360
Pr 3.344 8.766 4.708
Pr 6.192 8.082 7.354
Tm 4.518 11.579 2.982
Tm 4.401 6.125 2.490
Tm 5.017 5.268 9.081
Ho 5.649 11.221 6.161
Tm 7.366 7.354 10.574
CELL_PARAMETERS angstrom
5.695 1.600 1.146
1.920 11.023 0.710
1.920 4.224 10.207
```

***

(Q)
Here is a relaxed structure of Pr3Ho2Tm4 from Alexandria via LeMat-Bulk. Energies are from PBE. Values from VASP.

Computed properties:
The space-group type is C2/m.

The structure in Quantum ESPRESSO input format:
```
&SYSTEM
  ibrav = 0, nat = 9, ntyp = 3
/
ATOMIC_SPECIES
Ho 164.93 Ho.upf
Tm 168.93 Tm.upf
Pr 140.91 Pr.upf
ATOMIC_POSITIONS angstrom
Ho 2.808 2.201 1.121
Tm 0.000 6.849 -1.015
Pr 2.808 5.747 0.548
Tm 0.000 3.555 -0.429
Tm 2.808 4.371 3.950
Tm 2.808 1.077 4.536
Ho 0.000 5.725 2.400
Pr 0.000 0.000 0.000
Pr 0.000 2.179 2.973
CELL_PARAMETERS angstrom
5.616 0.000 0.000
-2.808 7.982 -3.059
0.000 -0.056 6.580
```

***

Energetically preferred structure: (Q) | next structure: +17 meV per atom